A plane-wave DFT calculation with PBE was carried out for a relaxed structure of ScNi2Br.

Summary:
ΔE_f (raw) (eV per atom): 0.022
Crystal system: tetragonal
Energy relative to the lowest polymorph listed for this composition (eV/atom): 0.405

Geometry as POSCAR:
```
ScNi2Br
1.0
-1.8950 1.8950 4.3610
1.8950 -1.8950 4.3610
1.8950 1.8950 -4.3610
Sc Ni Br
1 2 1
Cartesian
0.0000 0.0000 0.0000 Sc
1.8950 0.0000 2.1805 Ni
0.0000 1.8950 2.1805 Ni
0.0000 0.0000 4.3610 Br
```

=====

A plane-wave DFT calculation with PBE was carried out for a relaxed structure of SmCl2.

Summary:
ΔE_f (raw) (eV per atom): -1.950
Crystal system: monoclinic

Geometry as POSCAR:
```
SmCl2
1.0
3.3135 -1.9142 0.0000
3.3135 1.9142 0.0000
-2.2021 0.0000 7.1632
Sm Cl
1 2
Cartesian
0.0000 0.0000 0.0000 Sm
0.0077 0.0000 5.4395 Cl
4.4172 0.0000 1.7237 Cl
```

=====

A plane-wave DFT calculation with PBE was carried out for a relaxed structure of Tb5Pr3Dy2.

Summary:
ΔH_f (0 K) (meV/atom): 188
Crystal system: monoclinic
Energy relative to the lowest polymorph listed for this composition (eV/atom): 0.000

Geometry as POSCAR:
```
Tb5Pr3Dy2
1.0
5.3978 -8.0545 0.0000
5.3978 8.0545 0.0000
-5.3806 0.0000 7.7892
Tb Pr Dy
10 6 4
Cartesian
1.3623 7.6371 5.8419 Tb
-1.3225 1.8236 6.0307 Tb
4.0526 3.6597 1.9473 Tb
1.3678 -1.8236 2.1361 Tb
4.0526 0.4899 1.9473 Tb
1.3623 -0.4899 5.8419 Tb
4.0472 1.8236 5.6531 Tb
1.3623 -3.6597 5.8419 Tb
6.7375 -1.8236 1.7585 Tb
4.0526 -7.6371 1.9473 Tb
1.2996 2.0077 0.3568 Pr
1.3623 4.2872 5.8419 Pr
-1.3907 -2.0077 4.2515 Pr
6.8057 2.0077 3.5378 Pr
4.0526 -4.2872 1.9473 Pr
4.1153 -2.0077 7.4324 Pr
1.3077 1.8889 3.5385 Dy
-1.3826 -1.8889 7.4332 Dy
6.7976 1.8889 0.3561 Dy
4.1073 -1.8889 4.2507 Dy
```

=====

Volume (Å³/cell)
62.64; 90.87; 677.30
E (eV per cell)
-19.48; -14.26; -89.62